(1)
# Ca3Tl5

A geometry-optimized Ca3Tl5 structure (PBEsol, Alexandria).

Summary:
Magnetization: 0.0 μB per formula unit
Calculated total energy: -22.71 eV per formula unit
Density: 8.67 Mg/m³
Space group: Cmcm, No. 63
Energy of formation: -395 meV per atom

POSCAR file:
```
Ca3Tl5
1.0
-0.109 1.304 -6.393
-6.335 -0.525 1.477
-0.362 10.315 2.110
Tl Ca
10 6
direct
0.792 0.792 0.969
0.454 0.020 0.250
0.208 0.208 0.031
0.792 0.792 0.531
0.546 0.980 0.750
0.476 0.476 0.750
0.524 0.524 0.250
0.020 0.454 0.250
0.208 0.208 0.469
0.980 0.546 0.750
0.924 0.924 0.250
0.717 0.283 0.000
0.283 0.717 0.000
0.076 0.076 0.750
0.283 0.717 0.500
0.717 0.283 0.500
```

=====

(2)
# Be2Cu2Ag

A geometry-optimized Be2Cu2Ag structure (PBEsol, Alexandria).

Summary:
Magnetization: 0.0 μB per formula unit
Calculated total energy: -20.07 eV per formula unit
Density: 7.68 Mg/m³
Space group: P4/mbm, No. 127
Energy of formation: -18 meV per atom

POSCAR file:
```
Be2Cu2Ag
1.0
2.694 0.000 0.000
0.000 6.370 0.000
0.000 0.000 6.370
Cu Ag Be
4 2 4
direct
0.500 0.342 0.158
0.500 0.658 0.842
0.500 0.158 0.658
0.500 0.842 0.342
0.000 0.500 0.500
0.000 0.000 0.000
0.000 0.629 0.129
0.000 0.371 0.871
0.000 0.129 0.371
0.000 0.871 0.629
```

=====

(3)
# KInMo2

A geometry-optimized KInMo2 structure (PBEsol, Alexandria).

Summary:
Magnetization: 0.0 μB per formula unit
Calculated total energy: -24.10 eV per formula unit
Density: 5.72 Mg/m³
Space group: Pmmm, No. 47
Energy of formation: 889 meV per atom

POSCAR file:
```
KInMo2
1.0
3.022 0.000 0.000
0.000 4.559 0.000
0.000 0.000 7.287
In K Mo
1 1 2
direct
0.500 0.500 0.000
0.500 0.500 0.500
0.000 0.000 0.146
0.000 0.000 0.854
```

=====

(4)
# ZrTaIn2

A geometry-optimized ZrTaIn2 structure (PBEsol, Alexandria).

Summary:
Magnetization: 0.0 μB per formula unit
Calculated total energy: -27.92 eV per formula unit
ΔE to the lowest computed polymorph: 16 meV per atom
Density: 10.48 Mg/m³
Space group: Cmmm, No. 65
Energy of formation: -77 meV per atom

POSCAR file:
```
ZrTaIn2
1.0
-2.022 -0.525 2.122
3.260 -3.658 2.203
0.817 4.920 1.995
In Zr Ta
2 1 1
direct
0.000 0.000 0.500
0.000 0.500 0.000
0.500 0.000 0.000
0.500 0.500 0.500
```

=====

Question: magnetization of number 2 (Be2Cu2Ag)?
Answer: 0.0 μB per formula unit

=====

Question: What is the density in the third record?
Answer: 5.72 Mg/m³